# NiIBrN2

A relaxed structure of NiIBrN2 (PBE-GGA, the Alexandria database).

Geometry as extended XYZ:
```
5
Lattice="3.953 0.000 0.000 0.000 3.953 0.000 0.000 0.000 6.147" Properties=species:S:1:pos:R:3 pbc="T T T"
Ni 0.000 0.000 0.000
I 0.000 0.000 3.073
Br 1.977 1.977 3.073
N 0.000 1.977 0.000
N 1.977 0.000 0.000
```

Values from the calculation:
The space-group type is P4/mmm, No. 123. As for the energy above the most stable polymorph in this dataset: 0.0 kJ per mole of atoms.

---

# OsI2BrN

A relaxed structure of OsI2BrN (PBE-GGA, the Alexandria database).

Geometry as extended XYZ:
```
5
Lattice="6.160 0.000 0.000 0.000 6.160 0.000 0.000 0.000 3.651" Properties=species:S:1:pos:R:3 pbc="T T T"
Os 0.000 0.000 0.000
I 0.000 3.080 1.825
I 3.080 0.000 1.825
Br 3.080 3.080 1.825
N 3.080 3.080 0.000
```

Values from the calculation:
The space-group type is P4/mmm, No. 123. As for the energy above the most stable polymorph in this dataset: 170.1 kJ per mole of atoms.

---

# OsI2BrN

A relaxed structure of OsI2BrN (PBE-GGA, the Alexandria database).

Geometry as extended XYZ:
```
5
Lattice="5.653 0.000 0.000 0.000 5.653 0.000 0.000 0.000 3.735" Properties=species:S:1:pos:R:3 pbc="T T T"
Os 0.000 0.000 0.000
I 0.000 2.826 0.000
I 2.826 0.000 0.000
Br 2.826 2.826 1.868
N 0.000 0.000 1.868
```

Values from the calculation:
The space-group type is P4/mmm, No. 123. As for the energy above the most stable polymorph in this dataset: 0.0 kJ per mole of atoms.

---

# PIBrN2

A relaxed structure of PIBrN2 (PBE-GGA, the Alexandria database).

Geometry as extended XYZ:
```
5
Lattice="3.954 0.000 0.000 0.000 3.954 0.000 0.000 0.000 8.226" Properties=species:S:1:pos:R:3 pbc="T T T"
P 0.000 0.000 0.000
I 1.977 1.977 0.000
Br 1.977 1.977 4.113
N 0.000 1.977 4.113
N 1.977 0.000 4.113
```

Values from the calculation:
The space-group type is P4/mmm, No. 123. As for the energy above the most stable polymorph in this dataset: 81.0 kJ per mole of atoms.

---

# PIBrN2

A relaxed structure of PIBrN2 (PBE-GGA, the Alexandria database).

Geometry as extended XYZ:
```
5
Lattice="3.785 0.000 0.000 0.000 3.785 0.000 0.000 0.000 7.290" Properties=species:S:1:pos:R:3 pbc="T T T"
P 0.000 0.000 0.000
I 0.000 0.000 3.645
Br 1.893 1.893 3.645
N 0.000 1.893 0.000
N 1.893 0.000 0.000
```

Values from the calculation:
The space-group type is P4/mmm, No. 123. As for the energy above the most stable polymorph in this dataset: 0.0 kJ per mole of atoms.

---

# PbI2BrN

A relaxed structure of PbI2BrN (PBE-GGA, the Alexandria database).

Geometry as extended XYZ:
```
5
Lattice="6.259 0.000 0.000 0.000 6.259 0.000 0.000 0.000 4.793" Properties=species:S:1:pos:R:3 pbc="T T T"
Pb 0.000 0.000 0.000
I 0.000 3.130 0.000
I 3.130 0.000 0.000
Br 3.130 3.130 2.397
N 0.000 0.000 2.397
```

Values from the calculation:
The space-group type is P4/mmm, No. 123. As for the energy above the most stable polymorph in this dataset: 0.0 kJ per mole of atoms.

---

# PbIBrN2

A relaxed structure of PbIBrN2 (PBE-GGA, the Alexandria database).

Geometry as extended XYZ:
```
5
Lattice="4.539 0.000 0.000 0.000 4.539 0.000 0.000 0.000 6.921" Properties=species:S:1:pos:R:3 pbc="T T T"
Pb 0.000 0.000 0.000
I 0.000 0.000 3.460
Br 2.270 2.270 3.460
N 0.000 2.270 0.000
N 2.270 0.000 0.000
```

Values from the calculation:
The space-group type is P4/mmm, No. 123. As for the energy above the most stable polymorph in this dataset: 0.0 kJ per mole of atoms.

---

# Pb2IBrN

A relaxed structure of Pb2IBrN (PBE-GGA, the Alexandria database).

Geometry as extended XYZ:
```
5
Lattice="6.242 0.000 0.000 0.000 6.242 0.000 0.000 0.000 4.083" Properties=species:S:1:pos:R:3 pbc="T T T"
Pb 0.000 3.121 0.000
Pb 3.121 0.000 0.000
I 0.000 0.000 0.000
Br 3.121 3.121 2.042
N 0.000 0.000 2.042
```

Values from the calculation:
The space-group type is P4/mmm, No. 123.

---

# PbI2BrN

A relaxed structure of PbI2BrN (PBE-GGA, the Alexandria database).

Geometry as extended XYZ:
```
5
Lattice="6.521 0.000 0.000 0.000 6.521 0.000 0.000 0.000 3.824" Properties=species:S:1:pos:R:3 pbc="T T T"
Pb 0.000 0.000 0.000
I 0.000 3.261 1.912
I 3.261 0.000 1.912
Br 3.261 3.261 1.912
N 3.261 3.261 0.000
```

Values from the calculation:
The space-group type is P4/mmm, No. 123. As for the energy above the most stable polymorph in this dataset: 7.0 kJ per mole of atoms.

---

# PbIBrN2

A relaxed structure of PbIBrN2 (PBE-GGA, the Alexandria database).

Geometry as extended XYZ:
```
5
Lattice="4.673 0.000 0.000 0.000 4.673 0.000 0.000 0.000 7.656" Properties=species:S:1:pos:R:3 pbc="T T T"
Pb 0.000 0.000 0.000
I 2.336 2.336 0.000
Br 2.336 2.336 3.828
N 0.000 2.336 3.828
N 2.336 0.000 3.828
```

Values from the calculation:
The space-group type is P4/mmm, No. 123. As for the energy above the most stable polymorph in this dataset: 29.5 kJ per mole of atoms.

---

# PdI2BrN

A relaxed structure of PdI2BrN (PBE-GGA, the Alexandria database).

Geometry as extended XYZ:
```
5
Lattice="5.877 0.000 0.000 0.000 5.877 0.000 0.000 0.000 3.729" Properties=species:S:1:pos:R:3 pbc="T T T"
Pd 0.000 0.000 0.000
I 0.000 2.939 0.000
I 2.939 0.000 0.000
Br 2.939 2.939 1.864
N 0.000 0.000 1.864
```

Values from the calculation:
The space-group type is P4/mmm, No. 123. As for the energy above the most stable polymorph in this dataset: 0.0 kJ per mole of atoms.

---

# PdIBrN2

A relaxed structure of PdIBrN2 (PBE-GGA, the Alexandria database).

Geometry as extended XYZ:
```
5
Lattice="4.075 0.000 0.000 0.000 4.075 0.000 0.000 0.000 7.797" Properties=species:S:1:pos:R:3 pbc="T T T"
Pd 0.000 0.000 0.000
I 0.000 0.000 3.898
Br 2.037 2.037 3.898
N 0.000 2.037 0.000
N 2.037 0.000 0.000
```

Values from the calculation:
The space-group type is P4/mmm, No. 123. As for the energy above the most stable polymorph in this dataset: 0.0 kJ per mole of atoms.

---

# PdIBrN2

A relaxed structure of PdIBrN2 (PBE-GGA, the Alexandria database).

Geometry as extended XYZ:
```
5
Lattice="3.895 0.000 0.000 0.000 3.895 0.000 0.000 0.000 8.430" Properties=species:S:1:pos:R:3 pbc="T T T"
Pd 0.000 0.000 0.000
I 1.948 1.948 0.000
Br 1.948 1.948 4.215
N 0.000 1.948 4.215
N 1.948 0.000 4.215
```

Values from the calculation:
The space-group type is P4/mmm, No. 123. As for the energy above the most stable polymorph in this dataset: 47.6 kJ per mole of atoms.

---

# PdI2BrN

A relaxed structure of PdI2BrN (PBE-GGA, the Alexandria database).

Geometry as extended XYZ:
```
5
Lattice="6.294 0.000 0.000 0.000 6.294 0.000 0.000 0.000 3.653" Properties=species:S:1:pos:R:3 pbc="T T T"
Pd 0.000 0.000 0.000
I 0.000 3.147 1.827
I 3.147 0.000 1.827
Br 3.147 3.147 1.827
N 3.147 3.147 0.000
```

Values from the calculation:
The space-group type is P4/mmm, No. 123. As for the energy above the most stable polymorph in this dataset: 64.4 kJ per mole of atoms.

---

# Pm2IBrN

A relaxed structure of Pm2IBrN (PBE-GGA, the Alexandria database).

Geometry as extended XYZ:
```
10
Lattice="8.283 -2.021 0.000 8.283 2.021 0.000 -7.158 0.000 9.220" Properties=species:S:1:pos:R:3 pbc="T T T"
Pm -1.099 0.000 3.614
Pm 4.112 0.000 3.021
Pm 5.295 0.000 6.199
Pm 10.506 0.000 5.606
I -0.229 0.000 6.798
I 9.637 0.000 2.422
Br -4.379 0.000 8.084
Br 13.787 0.000 1.136
N 3.286 0.000 5.154
N 6.121 0.000 4.066
```

Values from the calculation:
The space-group type is C2/m, No. 12.

---

# Pr2IBrN

A relaxed structure of Pr2IBrN (PBE-GGA, the Alexandria database).

Geometry as extended XYZ:
```
10
Lattice="8.450 -2.054 0.000 8.450 2.054 0.000 -7.412 0.000 9.094" Properties=species:S:1:pos:R:3 pbc="T T T"
Pr -1.170 0.000 3.531
Pr 4.134 0.000 2.920
Pr 5.355 0.000 6.174
Pr 10.659 0.000 5.563
I -0.292 0.000 6.743
I 9.781 0.000 2.351
Br -4.545 0.000 8.069
Br 14.033 0.000 1.024
N 3.308 0.000 5.102
N 6.181 0.000 3.992
```

Values from the calculation:
The space-group type is C2/m, No. 12.

---

# RbI2BrN

A relaxed structure of RbI2BrN (PBE-GGA, the Alexandria database).

Geometry as extended XYZ:
```
5
Lattice="7.261 0.000 0.000 0.000 7.261 0.000 0.000 0.000 3.740" Properties=species:S:1:pos:R:3 pbc="T T T"
Rb 0.000 0.000 0.000
I 0.000 3.630 1.870
I 3.630 0.000 1.870
Br 3.630 3.630 1.870
N 3.630 3.630 0.000
```

Values from the calculation:
The space-group type is P4/mmm, No. 123. As for the energy above the most stable polymorph in this dataset: 0.0 kJ per mole of atoms.

---

# RbI2BrN

A relaxed structure of RbI2BrN (PBE-GGA, the Alexandria database).

Geometry as extended XYZ:
```
5
Lattice="6.994 0.000 0.000 0.000 6.994 0.000 0.000 0.000 5.954" Properties=species:S:1:pos:R:3 pbc="T T T"
Rb 0.000 0.000 0.000
I 0.000 3.497 0.000
I 3.497 0.000 0.000
Br 3.497 3.497 2.977
N 0.000 0.000 2.977
```

Values from the calculation:
The space-group type is P4/mmm, No. 123. As for the energy above the most stable polymorph in this dataset: 48.5 kJ per mole of atoms.

---

# ReIBrN2

A relaxed structure of ReIBrN2 (PBE-GGA, the Alexandria database).

Geometry as extended XYZ:
```
5
Lattice="3.970 0.000 0.000 0.000 3.970 0.000 0.000 0.000 5.875" Properties=species:S:1:pos:R:3 pbc="T T T"
Re 0.000 0.000 0.000
I 0.000 0.000 2.937
Br 1.985 1.985 2.937
N 0.000 1.985 0.000
N 1.985 0.000 0.000
```

Values from the calculation:
The space-group type is P4/mmm, No. 123. As for the energy above the most stable polymorph in this dataset: 0.0 kJ per mole of atoms.

---

# ReIBrN2

A relaxed structure of ReIBrN2 (PBE-GGA, the Alexandria database).

Geometry as extended XYZ:
```
5
Lattice="4.008 0.000 0.000 0.000 4.008 0.000 0.000 0.000 7.029" Properties=species:S:1:pos:R:3 pbc="T T T"
Re 0.000 0.000 0.000
I 2.004 2.004 0.000
Br 2.004 2.004 3.514
N 0.000 2.004 3.514
N 2.004 0.000 3.514
```

Values from the calculation:
The space-group type is P4/mmm, No. 123. As for the energy above the most stable polymorph in this dataset: 195.2 kJ per mole of atoms.

---

no.,E_form (uncorrected) (eV/f.u.)
1,7.3
2,11.4
3,2.6
4,11.1
5,6.9
6,4.1
7,7.8
8,4.3
9,4.5
10,9.4
11,3.7
12,7.3
13,9.8
14,7.1
15,-7.6
16,-7.4
17,2.0
18,4.6
19,4.0
20,14.1